{"formula": "Dy8Ho2Pu", "functional": "GGA-PBE", "state": "optimized geometry", "lattice": [[-4.474, -2.173, 4.404], [-4.542, -5.690, -4.950], [0.235, -8.661, -1.563]], "species": ["Pu", "Dy", "Dy", "Dy", "Dy", "Dy", "Dy", "Dy", "Dy", "Ho", "Ho"], "fractional_positions": [[0.000, 0.000, 0.000], [0.605, 0.345, 0.824], [0.199, 0.196, 0.196], [0.395, 0.655, 0.176], [0.801, 0.804, 0.804], [0.395, 0.176, 0.655], [0.912, 0.408, 0.408], [0.605, 0.824, 0.345], [0.088, 0.592, 0.592], [0.685, 0.245, 0.245], [0.315, 0.755, 0.755]], "relative_energy_mev_per_atom": 158}

{"formula": "Dy8Ho6Pu", "functional": "GGA-PBE", "state": "optimized geometry", "lattice": [[-8.091, -0.992, -2.450], [-3.779, -7.283, 2.265], [-5.902, 0.534, 6.110]], "species": ["Dy", "Dy", "Dy", "Dy", "Dy", "Dy", "Dy", "Dy", "Ho", "Ho", "Ho", "Ho", "Ho", "Ho", "Pu"], "fractional_positions": [[0.423, 0.423, 0.423], [0.282, 0.249, 0.889], [0.249, 0.889, 0.282], [0.751, 0.111, 0.718], [0.111, 0.718, 0.751], [0.889, 0.282, 0.249], [0.718, 0.751, 0.111], [0.577, 0.577, 0.577], [0.546, 0.223, 0.112], [0.112, 0.546, 0.223], [0.223, 0.112, 0.546], [0.888, 0.454, 0.777], [0.454, 0.777, 0.888], [0.777, 0.888, 0.454], [0.000, 0.000, 0.000]]}

{"formula": "Dy4Ho3Pu", "functional": "GGA-PBE", "state": "optimized geometry", "lattice": [[3.314, 0.000, -0.802], [-1.181, 10.325, -4.880], [0.276, -2.386, 8.389]], "species": ["Pu", "Dy", "Dy", "Dy", "Dy", "Ho", "Ho", "Ho"], "fractional_positions": [[0.500, 0.000, 0.000], [0.368, 0.116, 0.736], [0.632, 0.380, 0.264], [0.368, 0.620, 0.736], [0.632, 0.884, 0.264], [0.763, 0.763, 0.526], [0.237, 0.237, 0.474], [0.000, 0.500, 0.000]]}

{"formula": "Dy8Ho5Pu", "functional": "GGA-PBE", "state": "optimized geometry", "lattice": [[-1.584, 7.086, 4.125], [-7.274, -2.803, -2.993], [3.217, -6.056, 4.765]], "species": ["Dy", "Dy", "Dy", "Dy", "Dy", "Dy", "Dy", "Dy", "Ho", "Ho", "Ho", "Ho", "Ho", "Pu"], "fractional_positions": [[0.361, 0.397, 0.454], [0.780, 0.305, 0.407], [0.593, 0.373, 0.898], [0.057, 0.603, 0.964], [0.546, 0.907, 0.943], [0.526, 0.627, 0.220], [0.036, 0.093, 0.639], [0.102, 0.695, 0.474], [0.287, 0.082, 0.051], [0.969, 0.918, 0.205], [0.949, 0.236, 0.031], [0.795, 0.764, 0.713], [0.500, 0.000, 0.500], [0.250, 0.500, 0.750]]}

{"formula": "Dy9Ho4Pu", "functional": "GGA-PBE", "state": "optimized geometry", "lattice": [[-6.308, -4.152, 7.998], [-7.915, 2.742, -4.819], [3.806, -8.748, -1.540]], "species": ["Dy", "Dy", "Dy", "Dy", "Dy", "Dy", "Dy", "Dy", "Dy", "Dy", "Dy", "Dy", "Dy", "Dy", "Dy", "Dy", "Dy", "Dy", "Ho", "Ho", "Ho", "Ho", "Ho", "Ho", "Ho", "Ho", "Pu", "Pu"], "fractional_positions": [[0.750, 0.537, 0.463], [0.250, 0.463, 0.537], [0.467, 0.419, 0.210], [0.250, 0.463, 0.926], [0.467, 0.790, 0.581], [0.533, 0.581, 0.790], [0.533, 0.210, 0.790], [0.967, 0.581, 0.790], [0.750, 0.926, 0.463], [0.533, 0.210, 0.419], [0.750, 0.537, 0.074], [0.033, 0.419, 0.210], [0.033, 0.790, 0.210], [0.967, 0.210, 0.790], [0.467, 0.790, 0.210], [0.033, 0.790, 0.581], [0.250, 0.074, 0.537], [0.967, 0.210, 0.419], [0.000, 0.000, 0.000], [0.250, 0.775, 0.888], [0.250, 0.112, 0.225], [0.750, 0.888, 0.775], [0.750, 0.225, 0.112], [0.750, 0.888, 0.112], [0.250, 0.112, 0.888], [0.500, 0.000, 0.000], [0.250, 0.667, 0.333], [0.750, 0.333, 0.667]]}

{"formula": "DyHo4Pu", "functional": "GGA-PBE", "state": "optimized geometry", "lattice": [[-1.802, -0.487, -8.441], [7.206, -0.864, 4.697], [-4.129, -7.127, 2.627]], "species": ["Ho", "Ho", "Ho", "Ho", "Ho", "Ho", "Ho", "Ho", "Pu", "Pu", "Dy", "Dy"], "fractional_positions": [[0.249, 0.001, 0.248], [0.284, 0.511, 0.773], [0.261, 0.989, 0.727], [0.261, 0.534, 0.273], [0.751, 0.499, 0.748], [0.751, 0.003, 0.252], [0.753, 0.001, 0.752], [0.739, 0.511, 0.227], [0.499, 0.999, 0.500], [0.749, 0.749, 0.000], [0.226, 0.226, 0.000], [0.976, 0.476, 0.500]], "relative_energy_mev_per_atom": 645}

{"formula": "DyHo2Pu", "functional": "GGA-PBE", "state": "optimized geometry", "lattice": [[3.481, 0.000, 0.000], [0.000, 3.481, 0.000], [0.000, 0.000, 9.964]], "species": ["Ho", "Ho", "Pu", "Dy"], "fractional_positions": [[0.000, 0.000, 0.255], [0.000, 0.000, 0.745], [0.500, 0.500, 0.500], [0.500, 0.500, 0.000]], "relative_energy_mev_per_atom": 4}

{"formula": "Dy2HoPu", "functional": "GGA-PBE", "state": "optimized geometry", "lattice": [[-1.102, -5.456, 0.080], [3.663, -3.547, 2.234], [-1.163, -2.534, 4.818]], "species": ["Ho", "Dy", "Dy", "Pu"], "fractional_positions": [[0.000, 0.000, 0.000], [0.750, 0.750, 0.750], [0.250, 0.250, 0.250], [0.500, 0.500, 0.500]], "relative_energy_mev_per_atom": 101}

{"formula": "DyHoPu", "functional": "GGA-PBE", "state": "optimized geometry", "lattice": [[-0.253, -3.456, -0.510], [1.908, 1.242, 2.662], [-6.860, -0.241, 5.030]], "species": ["Dy", "Pu", "Ho"], "fractional_positions": [[0.000, 0.000, 0.002], [0.667, 0.333, 0.334], [0.333, 0.667, 0.665]], "relative_energy_mev_per_atom": 14}

{"formula": "Dy4Ho10Pu", "functional": "GGA-PBE", "state": "optimized geometry", "lattice": [[0.239, 8.143, 6.463], [-0.764, -0.115, 8.538], [6.876, 3.401, 3.827]], "species": ["Ho", "Ho", "Ho", "Ho", "Ho", "Ho", "Ho", "Ho", "Ho", "Ho", "Dy", "Dy", "Dy", "Dy", "Pu"], "fractional_positions": [[0.448, 0.099, 0.326], [0.128, 0.099, 0.326], [0.773, 0.674, 0.099], [0.552, 0.901, 0.674], [0.227, 0.326, 0.901], [0.546, 0.326, 0.901], [0.454, 0.674, 0.099], [0.872, 0.901, 0.674], [0.250, 0.500, 0.500], [0.750, 0.500, 0.500], [0.671, 0.262, 0.395], [0.066, 0.605, 0.262], [0.934, 0.395, 0.738], [0.329, 0.738, 0.605], [0.000, 0.000, 0.000]]}

{"formula": "Dy2Ho6Pu", "functional": "GGA-PBE", "state": "optimized geometry", "lattice": [[-1.240, -0.180, 7.142], [5.567, -0.180, 4.643], [1.504, 6.172, 4.098]], "species": ["Ho", "Ho", "Ho", "Ho", "Ho", "Ho", "Pu", "Dy", "Dy"], "fractional_positions": [[0.259, 0.774, 0.707], [0.774, 0.259, 0.707], [0.056, 0.603, 0.285], [0.603, 0.056, 0.285], [0.056, 0.056, 0.285], [0.259, 0.259, 0.707], [0.323, 0.323, 0.032], [0.579, 0.579, 0.264], [0.757, 0.757, 0.729]], "relative_energy_mev_per_atom": 262}

{"formula": "Dy6Ho5Pu", "functional": "GGA-PBE", "state": "optimized geometry", "lattice": [[4.521, 0.000, 2.086], [2.260, 7.461, 1.043], [0.351, 0.000, 11.130]], "species": ["Dy", "Dy", "Dy", "Dy", "Dy", "Dy", "Ho", "Ho", "Ho", "Ho", "Ho", "Pu"], "fractional_positions": [[0.748, 0.000, 0.752], [0.917, 0.670, 0.248], [0.083, 0.330, 0.752], [0.587, 0.330, 0.248], [0.413, 0.670, 0.752], [0.252, 0.000, 0.248], [0.167, 0.666, 0.500], [0.665, 0.671, 0.000], [0.335, 0.329, 0.000], [0.500, 0.000, 0.500], [0.833, 0.334, 0.500], [0.000, 0.000, 0.000]]}

no.,formation energy from the elements (eV/atom)
1,0.20
2,0.12
3,0.15
4,0.29
5,0.18
6,0.71
7,0.10
8,0.19
9,0.12
10,0.39
11,0.34
12,0.04